Density functional theory data (PBE-GGA) for crystalline SrZr2Ag at its relaxed geometry. Values from VASP.

Geometry as Quantum ESPRESSO input:
```
&SYSTEM
  ibrav = 0, nat = 4, ntyp = 3
/
ATOMIC_SPECIES
Ag 107.87 Ag.upf
Zr 91.22 Zr.upf
Sr 87.62 Sr.upf
ATOMIC_POSITIONS angstrom
Ag 3.6471 3.6471 3.6471
Zr 1.8235 1.8235 1.8235
Zr 5.4706 5.4706 5.4706
Sr 0.0000 0.0000 0.0000
CELL_PARAMETERS angstrom
0.0000 3.6471 3.6471
3.6471 0.0000 3.6471
3.6471 3.6471 0.0000
```

Properties
Energy above the lowest structure with this stoichiometry (eV per atom): 0.5289
N(E_F) (states/eV/cell): 6.61
Symmetry: Fm-3m
Formation energy from the elements (eV per formula unit): 2.4
Total DFT energy (no corrections) (eV per atom): -4.8120